The following is a PBE-GGA calculation of a relaxed structure of Pr8Ga3Co, from the Open Quantum Materials Database.

a b c (Å): 10.5687 10.5687 7.0156
angles (deg): 90.00 90.00 120.00
With the nearest neighbours (Å) after each atom.
Sites, in units of the cell vectors:
1 Pr 0.0000 0.0000 0.0000  8 Pr 3.46-3.70, 6 Ga 3.46-3.51
2 Pr 0.0000 0.0000 0.5000  8 Pr 3.46-3.70, 6 Ga 3.46-3.51
3 Pr 0.0761 0.5381 0.0136  1 Co 2.86
4 Pr 0.1700 0.3400 0.7154  1 Co 3.03, 3 Ga 3.08-3.22
5 Pr 0.1700 0.8300 0.7154  1 Co 3.03, 3 Ga 3.08-3.22
6 Pr 0.3333 0.6667 0.4016  1 Co 2.67
7 Pr 0.3400 0.1700 0.2154  1 Co 3.03, 3 Ga 3.08-3.22
8 Pr 0.4619 0.5381 0.0136  1 Co 2.86
9 Pr 0.4619 0.9239 0.0136  1 Co 2.86
10 Pr 0.5381 0.0761 0.5136  1 Co 2.86
11 Pr 0.5381 0.4619 0.5136  1 Co 2.86
12 Pr 0.6600 0.8300 0.7154  1 Co 3.03, 3 Ga 3.08-3.22
13 Pr 0.6667 0.3333 0.9016  1 Co 2.67
14 Pr 0.8300 0.1700 0.2154  1 Co 3.03, 3 Ga 3.08-3.22
15 Pr 0.8300 0.6600 0.2154  1 Co 3.03, 3 Ga 3.08-3.22
16 Pr 0.9239 0.4619 0.5136  1 Co 2.86
17 Ga 0.1647 0.3295 0.2568  6 Pr 3.08-3.27
18 Ga 0.1647 0.8353 0.2568  6 Pr 3.08-3.27
19 Ga 0.3295 0.1647 0.7568  6 Pr 3.08-3.27
20 Ga 0.6705 0.8353 0.2568  6 Pr 3.08-3.27
21 Ga 0.8353 0.1647 0.7568  6 Pr 3.08-3.27
22 Ga 0.8353 0.6705 0.7568  6 Pr 3.08-3.27
23 Co 0.3333 0.6667 0.7822  4 Pr 2.67-2.86
24 Co 0.6667 0.3333 0.2822  4 Pr 2.67-2.86

As for the total magnetization: 0.0009 μB/atom. The total energy is -4.8512 eV per atom.

The following is a PBE-GGA calculation of a relaxed structure of Tb2Co3Ge5, from the Open Quantum Materials Database.

a b c (Å): 8.0935 8.0935 5.7471
angles (deg): 109.74 109.74 93.40
With the nearest neighbours (Å) after each atom.
Sites, in units of the cell vectors:
1 Tb 0.0939 0.3723 0.2333  10 Ge 2.89-3.22, 4 Co 3.06-3.22
2 Tb 0.3723 0.0939 0.7333  10 Ge 2.89-3.22, 4 Co 3.06-3.22
3 Tb 0.6277 0.9061 0.2667  10 Ge 2.89-3.22, 4 Co 3.06-3.22
4 Tb 0.9061 0.6277 0.7667  10 Ge 2.89-3.22, 4 Co 3.06-3.22
5 Co 0.0401 0.7603 0.3827  5 Ge 2.31-2.41
6 Co 0.2397 0.9599 0.1173  5 Ge 2.31-2.41
7 Co 0.4969 0.5031 0.2500  5 Ge 2.40-2.52
8 Co 0.5031 0.4969 0.7500  5 Ge 2.40-2.52
9 Co 0.7603 0.0401 0.8827  5 Ge 2.31-2.41
10 Co 0.9599 0.2397 0.6173  5 Ge 2.31-2.41
11 Ge 0.0075 0.9925 0.7500  4 Co 2.38-2.41
12 Ge 0.2398 0.4246 0.8293  3 Co 2.31-2.45
13 Ge 0.2722 0.7278 0.7500  2 Co 2.41, 2 Ge 2.66
14 Ge 0.2830 0.7170 0.2500  3 Co 2.34-2.52
15 Ge 0.4246 0.2398 0.3293  3 Co 2.31-2.45
16 Ge 0.5754 0.7602 0.6707  3 Co 2.31-2.45
17 Ge 0.7170 0.2830 0.7500  3 Co 2.34-2.52
18 Ge 0.7278 0.2722 0.2500  2 Co 2.41, 2 Ge 2.66
19 Ge 0.7602 0.5754 0.1707  3 Co 2.31-2.45
20 Ge 0.9925 0.0075 0.2500  4 Co 2.38-2.41

As for the total magnetization: 0.0551 μB/atom. The total energy is -5.9606 eV per atom.

The following is a PBE-GGA calculation of a relaxed structure of ZrZnCuSn, from the Open Quantum Materials Database.

a b c (Å): 4.7051 4.7051 4.7051
angles (deg): 60.00 60.00 60.00
With the nearest neighbours (Å) after each atom.
Sites, in units of the cell vectors:
1 Zr 0.0000 0.0000 0.0000  4 Zn 2.88, 4 Sn 2.88
2 Zn 0.7500 0.7500 0.7500  4 Zr 2.88, 4 Cu 2.88
3 Cu 0.5000 0.5000 0.5000  4 Sn 2.88, 4 Zn 2.88
4 Sn 0.2500 0.2500 0.2500  4 Zr 2.88, 4 Cu 2.88

As for the total magnetization: 0.0022 μB/atom. The total energy is -4.3612 eV per atom.

The following is a PBE-GGA calculation of a relaxed structure of ScFeSiHg, from the Open Quantum Materials Database.

a b c (Å): 4.5562 4.5562 4.5562
angles (deg): 60.00 60.00 60.00
With the nearest neighbours (Å) after each atom.
Sites, in units of the cell vectors:
1 Sc 0.0000 0.0000 0.0000  4 Fe 2.79, 4 Hg 2.79
2 Fe 0.7500 0.7500 0.7500  4 Si 2.79, 4 Sc 2.79
3 Si 0.5000 0.5000 0.5000  4 Fe 2.79, 4 Hg 2.79
4 Hg 0.2500 0.2500 0.2500  4 Si 2.79, 4 Sc 2.79

As for the total magnetization: 0.4575 μB/atom. The total energy is -4.9662 eV per atom.

Number 1: calculated density 6.8 g/cm3. Number 2: calculated density 8.7 g/cm3. Number 3: calculated density 7.6 g/cm3. Number 4: calculated density 8.2 g/cm3.